This record from Alexandria describes AlPIr3 after structural relaxation. The functional is GGA-PBE.

Cell lengths 4.396, 4.396, 4.396 Å; angles 90.00, 90.00, 90.00 degrees
Atoms (fractional coordinates):
Ir  0.000  0.500  0.000
Ir  0.000  0.000  0.500
Ir  0.500  0.000  0.000
P  0.000  0.000  0.000
Al  0.500  0.500  0.500

Properties
- final energy (hartree per atom) = -0.247
- ΔE_f (meV per atom) = 413
- excess energy over the best structure of this formula in the dataset (meV per atom) = 0.0